No. 1
Material: CdFe3B
Method: DFT, PBEsol
State: optimized geometry

The structure in POSCAR format:
```
CdFe3B
1.0
-3.880 0.721 -2.453
1.390 -3.147 -3.123
-2.146 -3.342 2.413
B Fe Cd
1 3 1
direct
0.500 0.500 0.500 B
0.000 0.500 0.000 Fe
0.000 0.000 0.500 Fe
0.500 0.000 0.000 Fe
0.000 0.000 0.000 Cd
```

The space group is Pm-3m. For the energy relative to the elements, the calculation gives 13.01 eV/f.u.

---

No. 2
Material: CdFe2BRh
Method: DFT, PBEsol
State: optimized geometry

The structure in POSCAR format:
```
CdFe2BRh
1.0
3.890 0.000 0.000
0.000 4.650 0.000
0.000 0.000 4.650
B Rh Fe Cd
1 1 2 1
direct
0.500 0.000 0.000 B
0.000 0.000 0.000 Rh
0.000 0.000 0.500 Fe
0.000 0.500 0.000 Fe
0.500 0.500 0.500 Cd
```

The space group is P4/mmm. For the energy relative to the elements, the calculation gives 5.42 eV/f.u.

---

No. 3
Material: CdFeBW2
Method: DFT, PBEsol
State: optimized geometry

The structure in POSCAR format:
```
CdFeBW2
1.0
-3.283 0.598 -1.761
-1.283 -4.679 0.802
-2.057 1.297 4.274
B Fe W Cd
1 1 2 1
direct
0.500 0.000 0.000 B
0.500 0.500 0.500 Fe
0.000 0.000 0.500 W
0.000 0.500 0.000 W
0.000 0.000 0.000 Cd
```

The space group is P4/mmm. For the energy relative to the elements, the calculation gives 14.79 eV/f.u.

---

No. 4
Material: Cd3GaB
Method: DFT, PBEsol
State: optimized geometry

The structure in POSCAR format:
```
Cd3GaB
1.0
-1.677 2.875 -3.696
3.340 -2.017 -3.085
-3.282 -3.522 -1.251
B Ga Cd
1 1 3
direct
0.500 0.500 0.500 B
0.000 0.000 0.000 Ga
0.000 0.500 0.000 Cd
0.000 0.000 0.500 Cd
0.500 0.000 0.000 Cd
```

The space group is Pm-3m. For the energy relative to the elements, the calculation gives 6.29 eV/f.u.

---

No. 5
Material: Cd2GeB
Method: DFT, PBEsol
State: optimized geometry

The structure in POSCAR format:
```
Cd2GeB
1.0
-2.924 0.717 3.512
-3.772 -2.640 0.445
-0.277 -3.076 3.444
Ge B Cd
1 1 2
direct
0.500 0.500 0.500 Ge
0.000 0.000 0.000 B
0.250 0.250 0.250 Cd
0.750 0.750 0.750 Cd
```

The space group is Fm-3m. For the energy relative to the elements, the calculation gives 3.74 eV/f.u.

---

No. 6
Material: CdBH2
Method: DFT, PBEsol
State: optimized geometry

The structure in POSCAR format:
```
CdBH2
1.0
-3.187 -3.274 1.034
2.413 1.593 3.686
-1.797 4.026 -1.584
H B Cd
4 2 2
direct
0.250 0.875 0.625 H
0.750 0.375 0.625 H
0.250 0.375 0.625 H
0.750 0.375 0.125 H
0.000 0.500 0.500 B
0.500 0.250 0.750 B
0.000 0.000 0.000 Cd
0.500 0.750 0.250 Cd
```

The space group is I4_1/amd.

---

No. 7
Material: Cd2BHIr
Method: DFT, PBEsol
State: optimized geometry

The structure in POSCAR format:
```
Cd2BHIr
1.0
3.937 0.000 0.000
0.000 4.541 0.000
0.000 0.000 4.541
H B Ir Cd
1 1 1 2
direct
0.500 0.500 0.500 H
0.000 0.000 0.000 B
0.500 0.000 0.000 Ir
0.000 0.000 0.500 Cd
0.000 0.500 0.000 Cd
```

The space group is P4/mmm.

---

No. 8
Material: RbCdBH2
Method: DFT, PBEsol
State: optimized geometry

The structure in POSCAR format:
```
RbCdBH2
1.0
-3.732 2.029 0.051
-1.968 -3.576 -1.734
-0.785 -1.547 4.082
H B Rb Cd
2 1 1 1
direct
0.000 0.000 0.500 H
0.000 0.500 0.000 H
0.000 0.000 0.000 B
0.500 0.500 0.500 Rb
0.500 0.000 0.000 Cd
```

The space group is P4/mmm.

---

No. 9
Material: ScCdB2H
Method: DFT, PBEsol
State: optimized geometry

The structure in POSCAR format:
```
ScCdB2H
1.0
4.032 0.000 0.000
0.000 4.032 0.000
0.000 0.000 5.555
Sc H B Cd
1 1 2 1
direct
0.000 0.000 0.500 Sc
0.500 0.500 0.500 H
0.000 0.500 0.000 B
0.500 0.000 0.000 B
0.000 0.000 0.000 Cd
```

The space group is P4/mmm.

---

No. 10
Material: CdBTe2H
Method: DFT, PBEsol
State: optimized geometry

The structure in POSCAR format:
```
CdBTe2H
1.0
4.195 0.000 0.000
0.000 5.644 0.000
0.000 0.000 5.644
H B Te Cd
1 1 2 1
direct
0.500 0.500 0.500 H
0.500 0.000 0.000 B
0.000 0.000 0.500 Te
0.000 0.500 0.000 Te
0.000 0.000 0.000 Cd
```

The space group is P4/mmm.

---

No. 11
Material: Hf2CdB
Method: DFT, PBEsol
State: optimized geometry

The structure in POSCAR format:
```
Hf2CdB
1.0
-1.163 1.097 4.269
-1.208 -3.265 2.944
2.760 -1.080 3.464
B Hf Cd
1 2 1
direct
0.000 0.000 0.000 B
0.250 0.250 0.250 Hf
0.750 0.750 0.750 Hf
0.500 0.500 0.500 Cd
```

The space group is Fm-3m. For the energy relative to the elements, the calculation gives 1.50 eV/f.u.

---

No. 12
Material: Hf3CdB
Method: DFT, PBEsol
State: optimized geometry

The structure in POSCAR format:
```
Hf3CdB
1.0
-3.850 2.078 1.239
-1.818 -4.021 1.095
1.596 0.431 4.236
B Hf Cd
1 3 1
direct
0.000 0.000 0.000 B
0.000 0.500 0.000 Hf
0.000 0.000 0.500 Hf
0.500 0.000 0.000 Hf
0.500 0.500 0.500 Cd
```

The space group is Pm-3m. For the energy relative to the elements, the calculation gives -1.29 eV/f.u.

---

No. 13
Material: HfCdB3
Method: DFT, PBEsol
State: optimized geometry

The structure in POSCAR format:
```
HfCdB3
1.0
4.375 0.000 0.000
0.000 4.375 0.000
0.000 0.000 4.375
B Hf Cd
3 1 1
direct
0.000 0.500 0.000 B
0.000 0.000 0.500 B
0.500 0.000 0.000 B
0.000 0.000 0.000 Hf
0.500 0.500 0.500 Cd
```

The space group is Pm-3m. For the energy relative to the elements, the calculation gives 8.35 eV/f.u.

---

No. 14
Material: Hf2CdBMo
Method: DFT, PBEsol
State: optimized geometry

The structure in POSCAR format:
```
Hf2CdBMo
1.0
4.191 0.000 0.000
0.000 4.536 0.000
0.000 0.000 4.536
Mo B Hf Cd
1 1 2 1
direct
0.500 0.500 0.500 Mo
0.000 0.000 0.000 B
0.000 0.000 0.500 Hf
0.000 0.500 0.000 Hf
0.500 0.000 0.000 Cd
```

The space group is P4/mmm. For the energy relative to the elements, the calculation gives 1.67 eV/f.u.

---

No. 15
Material: ScCdHg2B
Method: DFT, PBEsol
State: optimized geometry

The structure in POSCAR format:
```
ScCdHg2B
1.0
-3.707 -3.101 1.653
3.217 -2.029 3.410
-1.487 3.700 3.605
Sc B Hg Cd
1 1 2 1
direct
0.000 0.000 0.500 Sc
0.500 0.500 0.500 B
0.000 0.500 0.000 Hg
0.500 0.000 0.000 Hg
0.000 0.000 0.000 Cd
```

The space group is P4/mmm. For the energy relative to the elements, the calculation gives 6.92 eV/f.u. As for the excess energy over the best structure of this formula in the dataset: 0.993 eV/atom.

---

No. 16
Material: ScCdHg2B
Method: DFT, PBEsol
State: optimized geometry

The structure in POSCAR format:
```
ScCdHg2B
1.0
-3.821 -1.312 -1.853
2.035 -3.907 -1.432
-1.206 -2.079 3.959
Sc B Hg Cd
1 1 2 1
direct
0.500 0.500 0.500 Sc
0.000 0.000 0.000 B
0.000 0.000 0.500 Hg
0.000 0.500 0.000 Hg
0.500 0.000 0.000 Cd
```

The space group is P4/mmm. For the energy relative to the elements, the calculation gives 1.95 eV/f.u. As for the excess energy over the best structure of this formula in the dataset: 0.000 eV/atom.

---

No. 17
Material: CdB3I
Method: DFT, PBEsol
State: optimized geometry

The structure in POSCAR format:
```
CdB3I
1.0
4.497 0.000 0.000
0.000 4.497 0.000
0.000 0.000 4.497
I B Cd
1 3 1
direct
0.500 0.500 0.500 I
0.000 0.500 0.000 B
0.000 0.000 0.500 B
0.500 0.000 0.000 B
0.000 0.000 0.000 Cd
```

The space group is Pm-3m.

---

No. 18
Material: CdBI2
Method: DFT, PBEsol
State: optimized geometry

The structure in POSCAR format:
```
CdBI2
1.0
-4.619 4.743 -3.766
-6.963 -2.301 -2.061
-6.143 2.882 3.461
I B Cd
4 2 2
direct
0.625 0.125 0.625 I
0.125 0.625 0.625 I
0.625 0.625 0.125 I
0.625 0.625 0.625 I
0.500 0.500 0.500 B
0.750 0.750 0.750 B
0.000 0.000 0.000 Cd
0.250 0.250 0.250 Cd
```

The space group is Fd-3m.

---

No. 19
Material: CdBIN2
Method: DFT, PBEsol
State: optimized geometry

The structure in POSCAR format:
```
CdBIN2
1.0
-0.564 -2.063 -3.589
3.620 1.511 -1.437
3.036 -4.997 2.395
I B N Cd
1 1 2 1
direct
0.000 0.000 0.500 I
0.500 0.500 0.500 B
0.000 0.500 0.000 N
0.500 0.000 0.000 N
0.000 0.000 0.000 Cd
```

The space group is P4/mmm.

---

No. 20
Material: CdBI2O
Method: DFT, PBEsol
State: optimized geometry

The structure in POSCAR format:
```
CdBI2O
1.0
-0.996 2.964 2.571
-5.579 -0.796 -1.245
-0.406 -3.849 4.280
I B O Cd
2 1 1 1
direct
0.000 0.000 0.500 I
0.000 0.500 0.000 I
0.500 0.500 0.500 B
0.500 0.000 0.000 O
0.000 0.000 0.000 Cd
```

The space group is P4/mmm.

---

No. 21
Material: Cd2BRhI
Method: DFT, PBEsol
State: optimized geometry

The structure in POSCAR format:
```
Cd2BRhI
1.0
-3.404 0.975 1.727
-1.129 -5.127 0.667
2.413 0.081 4.709
I B Rh Cd
1 1 1 2
direct
0.500 0.500 0.500 I
0.500 0.000 0.000 B
0.000 0.000 0.000 Rh
0.000 0.000 0.500 Cd
0.000 0.500 0.000 Cd
```

The space group is P4/mmm.

---

No. 22
Material: CdBSb2I
Method: DFT, PBEsol
State: optimized geometry

The structure in POSCAR format:
```
CdBSb2I
1.0
5.046 0.000 0.000
0.000 4.838 0.000
0.000 0.000 4.838
I Sb B Cd
1 2 1 1
direct
0.500 0.000 0.000 I
0.000 0.000 0.500 Sb
0.000 0.500 0.000 Sb
0.000 0.000 0.000 B
0.500 0.500 0.500 Cd
```

The space group is P4/mmm.

---

No. 23
Material: CdBTeI2
Method: DFT, PBEsol
State: optimized geometry

The structure in POSCAR format:
```
CdBTeI2
1.0
-4.191 2.207 -2.904
-3.005 -4.781 0.703
-2.220 2.101 4.800
I B Te Cd
2 1 1 1
direct
0.000 0.000 0.500 I
0.000 0.500 0.000 I
0.500 0.500 0.500 B
0.500 0.000 0.000 Te
0.000 0.000 0.000 Cd
```

The space group is P4/mmm.

---

No. 24
Material: Li2CdInB
Method: DFT, PBEsol
State: optimized geometry

The structure in POSCAR format:
```
Li2CdInB
1.0
5.039 0.000 0.000
0.000 5.039 0.000
0.000 0.000 5.133
B Cd Li In
1 1 2 1
direct
0.500 0.500 0.500 B
0.000 0.000 0.500 Cd
0.000 0.500 0.000 Li
0.500 0.000 0.000 Li
0.000 0.000 0.000 In
```

The space group is P4/mmm. For the energy relative to the elements, the calculation gives 5.95 eV/f.u.

---

No. 25
Material: Cd2BIr
Method: DFT, PBEsol
State: optimized geometry

The structure in POSCAR format:
```
Cd2BIr
1.0
-0.492 1.445 3.709
-5.536 -2.896 2.563
3.356 -4.082 4.205
B Ir Cd
2 2 4
direct
0.500 0.000 0.000 B
0.250 0.500 0.500 B
0.000 0.000 0.000 Ir
0.750 0.500 0.500 Ir
0.875 0.750 0.750 Cd
0.375 0.250 0.250 Cd
0.375 0.750 0.250 Cd
0.375 0.250 0.750 Cd
```

The space group is I4_1/amd. For the energy relative to the elements, the calculation gives 1.94 eV/f.u.

---

No. 26
Material: K2CdReB
Method: DFT, PBEsol
State: optimized geometry

The structure in POSCAR format:
```
K2CdReB
1.0
4.025 0.000 0.000
0.000 6.422 0.000
0.000 0.000 6.422
Re K B Cd
1 2 1 1
direct
0.000 0.000 0.000 Re
0.000 0.000 0.500 K
0.000 0.500 0.000 K
0.500 0.000 0.000 B
0.500 0.500 0.500 Cd
```

The space group is P4/mmm. For the energy relative to the elements, the calculation gives 6.28 eV/f.u.

---

No. 27
Material: KCd2BW
Method: DFT, PBEsol
State: optimized geometry

The structure in POSCAR format:
```
KCd2BW
1.0
5.733 0.000 0.000
0.000 5.733 0.000
0.000 0.000 5.859
K B W Cd
1 1 1 2
direct
0.000 0.000 0.000 K
0.500 0.500 0.500 B
0.000 0.000 0.500 W
0.000 0.500 0.000 Cd
0.500 0.000 0.000 Cd
```

The space group is P4/mmm. For the energy relative to the elements, the calculation gives 15.86 eV/f.u.

---

No. 28
Material: LaCdB3
Method: DFT, PBEsol
State: optimized geometry

The structure in POSCAR format:
```
LaCdB3
1.0
-2.129 -4.085 0.777
4.136 -1.989 0.875
-0.434 1.087 4.523
B Cd La
3 1 1
direct
0.000 0.500 0.000 B
0.000 0.000 0.500 B
0.500 0.000 0.000 B
0.500 0.500 0.500 Cd
0.000 0.000 0.000 La
```

The space group is Pm-3m. For the energy relative to the elements, the calculation gives 11.43 eV/f.u.

---

Number 1: DFT total energy -4.418 eV per atom, D(E_F) 1.41 states/eV/atom. Number 2: DFT total energy -5.772 eV per atom, D(E_F) 1.06 states/eV/atom. Number 3: DFT total energy -6.000 eV per atom, D(E_F) 1.04 states/eV/atom. Number 4: DFT total energy -1.531 eV per atom, D(E_F) 0.66 states/eV/atom. Number 5: DFT total energy -2.652 eV per atom, D(E_F) 0.45 states/eV/atom. Number 6: DFT total energy -2.965 eV per atom, D(E_F) 0.27 states/eV/atom. Number 7: DFT total energy -3.693 eV per atom, D(E_F) 0.45 states/eV/atom. Number 8: DFT total energy -2.360 eV per atom, D(E_F) 0.18 states/eV/atom. Number 9: DFT total energy -3.293 eV per atom, D(E_F) 0.67 states/eV/atom. Number 10: DFT total energy -2.182 eV per atom, D(E_F) 0.82 states/eV/atom. Number 11: DFT total energy -6.930 eV per atom, D(E_F) 0.82 states/eV/atom. Number 12: DFT total energy -8.203 eV per atom, D(E_F) 0.48 states/eV/atom. Number 13: DFT total energy -4.880 eV per atom, D(E_F) 0.63 states/eV/atom. Number 14: DFT total energy -7.864 eV per atom, D(E_F) 0.57 states/eV/atom. Number 15: DFT total energy -1.807 eV per atom, D(E_F) 1.11 states/eV/atom. Number 16: DFT total energy -2.800 eV per atom, D(E_F) 0.61 states/eV/atom. Number 17: DFT total energy -2.666 eV per atom, D(E_F) 0.45 states/eV/atom. Number 18: DFT total energy -2.235 eV per atom, D(E_F) 0.10 states/eV/atom. Number 19: DFT total energy -3.043 eV per atom, D(E_F) 0.35 states/eV/atom. Number 20: DFT total energy -2.484 eV per atom, D(E_F) 1.15 states/eV/atom. Number 21: DFT total energy -3.500 eV per atom, D(E_F) 0.48 states/eV/atom. Number 22: DFT total energy -3.096 eV per atom, D(E_F) 0.73 states/eV/atom. Number 23: DFT total energy -1.912 eV per atom, D(E_F) 0.69 states/eV/atom. Number 24: DFT total energy -1.835 eV per atom, D(E_F) 0.29 states/eV/atom. Number 25: DFT total energy -4.323 eV per atom, D(E_F) 0.46 states/eV/atom. Number 26: DFT total energy -3.506 eV per atom, D(E_F) 0.73 states/eV/atom. Number 27: DFT total energy -1.698 eV per atom, D(E_F) 0.64 states/eV/atom. Number 28: DFT total energy -3.233 eV per atom, D(E_F) 0.56 states/eV/atom.